[1]
10
Lattice="-0.553 7.097 1.293 -6.746 -0.968 2.429 1.314 -0.524 3.440" Properties=species:S:1:pos:R:3 comment="Hf2Pd2Se, relaxed, DFT PBE" raw_formation_energy_mev_per_atom=-666 dft_energy_ev_per_atom=-7.42 space_group="No. 127" pbc="T T T"
Se 0.000 0.000 0.000
Se -3.650 3.065 1.861
Pd -0.431 2.230 2.515
Pd -2.313 5.548 3.740
Pd -5.555 3.375 4.647
Hf -2.351 0.847 1.027
Hf -5.818 1.569 2.461
Pd -3.673 0.057 3.422
Hf -1.481 4.560 1.261
Hf -4.949 5.282 2.695

=====

[2]
4
Lattice="0.000 3.323 3.323 3.323 0.000 3.323 3.323 3.323 0.000" Properties=species:S:1:pos:R:3 comment="HfPdSe2, relaxed, DFT PBE" raw_formation_energy_mev_per_atom=-625 dft_energy_ev_per_atom=-6.15 space_group="No. 225" pbc="T T T"
Hf 3.323 3.323 3.323
Se 4.984 4.984 4.984
Pd 0.000 0.000 0.000
Se 1.661 1.661 1.661

=====

[3]
4
Lattice="7.839 -2.823 -0.238 7.710 -0.497 -3.127 8.289 0.822 0.293" Properties=species:S:1:pos:R:3 comment="HfPdSe2, relaxed, DFT PBE" raw_formation_energy_mev_per_atom=-743 dft_energy_ev_per_atom=-6.27 space_group="No. 166" pbc="T T T"
Se 21.444 -2.247 -2.764
Pd 0.000 0.000 0.000
Se 2.394 -0.251 -0.309
Hf 11.919 -1.249 -1.536